TePd5, optimized geometry, DFT PBE; E = -5.038 eV/atom; total magnetic moment = 0.00 μB/atom
1.0
-0.8423 0.1970 4.4294
-1.0986 -4.5893 -2.3040
5.2821 1.3963 0.9424
Pd Te
5 1
Cartesian
3.3715 -0.3722 2.9569
0.7260 -0.8414 2.4747
-0.0303 -2.6238 0.1109
2.6411 0.6982 0.4712
2.6151 -2.1546 0.5931
0.0000 0.0000 0.0000

***

TePd7, optimized geometry, DFT PBE; E = -5.055 eV/atom; total magnetic moment = 0.00 μB/atom
1.0
-2.1238 -5.0935 1.3189
-0.5044 -3.9871 -4.0053
3.3876 -4.5508 0.0846
Pd Te
7 1
Cartesian
-1.3141 -4.5403 -1.3432
0.6319 -4.8222 0.7018
0.3797 -6.8157 -1.3008
1.6938 -2.2754 0.0423
1.4416 -4.2690 -1.9603
-0.2522 -1.9935 -2.0026
-1.0619 -2.5467 0.6595
0.0000 0.0000 0.0000

***

TePd4, optimized geometry, DFT PBE; E = -4.971 eV/atom; total magnetic moment = 0.00 μB/atom
1.0
5.5021 -0.5549 0.0000
-2.6323 4.8634 0.0000
-1.4349 -2.1542 6.6947
Pd Te
8 2
Cartesian
1.6492 3.3995 1.3889
2.3245 -1.8116 6.0042
2.9653 0.9678 1.9585
-1.6846 0.9550 4.7362
1.0665 0.6776 5.3059
0.1836 1.1694 2.6569
-3.0589 3.3292 4.0379
-1.1325 3.6011 0.6905
2.1495 -1.1806 3.3474
0.8333 1.2510 0.0000